[1]
A plane-wave DFT calculation with PBE was carried out for a relaxed Sm3GePd crystal.

Lattice parameters (Å, degrees): 4.279 7.757 8.377 89.78 89.99 106.01
Fractional positions:
Sm 0.068 0.169 0.392
Sm 0.419 0.872 0.643
Sm 0.625 0.282 0.779
Sm 0.976 0.985 0.030
Sm 0.265 0.563 0.022
Sm 0.779 0.591 0.400
Ge 0.414 0.861 0.278
Ge 0.630 0.293 0.143
Pd 0.223 0.479 0.633
Pd 0.821 0.675 0.789

Computed properties:
Volume: 26.73 Å³/atom
Spin magnetization: 0.00 μB per cell
Final energy: -54.04 eV/cell

[2]
A plane-wave DFT calculation with PBE was carried out for a relaxed Sm3Ge2Pd7 crystal.

Lattice parameters (Å, degrees): 4.098 4.098 14.173 98.31 98.31 90.00
Fractional positions:
Sm 0.326 0.326 0.653
Sm 0.674 0.674 0.347
Sm 0.500 0.500 0.000
Ge 0.130 0.130 0.259
Ge 0.870 0.870 0.741
Pd 0.000 0.000 0.000
Pd 0.922 0.422 0.843
Pd 0.422 0.922 0.843
Pd 0.078 0.578 0.157
Pd 0.578 0.078 0.157
Pd 0.221 0.221 0.442
Pd 0.779 0.779 0.558

Computed properties:
Volume: 19.42 Å³/atom
Spin magnetization: 0.00 μB per cell
Final energy: -69.13 eV/cell
Energy relative to the lowest polymorph listed for this composition: 0.000 eV/f.u.

[3]
A plane-wave DFT calculation with PBE was carried out for a relaxed Sm2Ge4Pd5 crystal.

Lattice parameters (Å, degrees): 5.731 5.683 8.041 79.65 69.12 59.72
Fractional positions:
Sm 0.861 0.000 0.278
Sm 0.139 0.000 0.722
Ge 0.487 0.292 0.734
Ge 0.513 0.708 0.266
Ge 0.221 0.292 0.266
Ge 0.779 0.708 0.734
Pd 0.500 0.000 0.000
Pd 0.000 0.500 0.000
Pd 0.500 0.500 0.000
Pd 0.250 0.500 0.500
Pd 0.750 0.500 0.500

Computed properties:
Volume: 19.21 Å³/atom
Spin magnetization: 0.00 μB per cell
Final energy: -61.09 eV/cell

[4]
A plane-wave DFT calculation with PBE was carried out for a relaxed Sm7Ge2Pd2 crystal.

Lattice parameters (Å, degrees): 6.841 7.039 6.841 90.00 107.90 90.00
Fractional positions:
Sm 0.000 0.272 0.500
Sm 0.500 0.728 0.000
Sm 0.000 0.728 0.500
Sm 0.500 0.272 0.000
Sm 0.000 0.000 0.000
Sm 0.500 0.743 0.500
Sm 0.500 0.257 0.500
Ge 0.832 0.500 0.832
Ge 0.168 0.500 0.168
Pd 0.713 0.000 0.287
Pd 0.287 0.000 0.713

Computed properties:
Volume: 28.50 Å³/atom
Spin magnetization: 0.00 μB per cell
Final energy: -56.70 eV/cell

What is the volume in the fourth record?
28.50 Å³/atom